Version a
# YTaNO (PBE, relaxed)
data_YTaNO
_chemical_formula_sum 'Y4 Ta4 N4 O4'
_cell_length_a 6.264
_cell_length_b 7.545
_cell_length_c 5.104
_cell_angle_alpha 90.00
_cell_angle_beta 90.00
_cell_angle_gamma 90.00
_space_group_name_H-M_alt 'P c a 21'
_space_group_IT_number 29
loop_
_space_group_symop_operation_xyz
'x,y,z'
'-x,-y,z+1/2'
'-x+1/2,y,z+1/2'
'x+1/2,-y,z'
loop_
_atom_site_label
_atom_site_type_symbol
_atom_site_fract_x
_atom_site_fract_y
_atom_site_fract_z
_atom_site_occupancy
Y1 Y 0.063 0.139 0.000 1
Ta1 Ta 0.129 0.659 0.002 1
N1 N 0.073 0.148 0.504 1
O1 O 0.056 0.557 0.623 1
# Crystal system   orthorhombic
# Size of the total moment   0.2 μB/f.u.

---

Version b
# YTaNO (PBE, relaxed)
data_YTaNO
_chemical_formula_sum 'Y2 Ta2 N2 O2'
_cell_length_a 3.523
_cell_length_b 6.328
_cell_length_c 5.519
_cell_angle_alpha 90.00
_cell_angle_beta 90.00
_cell_angle_gamma 90.00
_space_group_name_H-M_alt 'P m c 21'
_space_group_IT_number 26
loop_
_space_group_symop_operation_xyz
'x,y,z'
'-x,-y,z+1/2'
'-x,y,z'
'x,-y,z+1/2'
loop_
_atom_site_label
_atom_site_type_symbol
_atom_site_fract_x
_atom_site_fract_y
_atom_site_fract_z
_atom_site_occupancy
Y1 Y 0.000 0.164 0.000 1
Ta1 Ta 0.500 0.351 0.485 1
N1 N 0.000 0.198 0.530 1
O1 O 0.500 0.345 0.866 1
# Crystal system   orthorhombic
# Size of the total moment   0.0 μB/f.u.

---

Version c
# YTaNO (PBE, relaxed)
data_YTaNO
_chemical_formula_sum 'Y4 Ta4 N4 O4'
_cell_length_a 7.666
_cell_length_b 6.493
_cell_length_c 4.548
_cell_angle_alpha 90.00
_cell_angle_beta 90.00
_cell_angle_gamma 90.00
_space_group_name_H-M_alt 'P b c m'
_space_group_IT_number 57
loop_
_space_group_symop_operation_xyz
'x,y,z'
'-x,-y,-z'
'-x,-y,z+1/2'
'x,y,-z+1/2'
'x,-y+1/2,-z'
'-x,y+1/2,z'
'-x,y+1/2,-z+1/2'
'x,-y+1/2,z+1/2'
loop_
_atom_site_label
_atom_site_type_symbol
_atom_site_fract_x
_atom_site_fract_y
_atom_site_fract_z
_atom_site_occupancy
Y1 Y 0.129 0.046 0.250 1
Ta1 Ta 0.367 0.609 0.250 1
N1 N 0.414 0.578 0.750 1
O1 O 0.156 0.098 0.750 1
# Crystal system   orthorhombic
# Size of the total moment   0.0 μB/f.u.

---

version c wins, 16.4 kJ/mol of atoms ahead of the next structure.